DFT (PBEsol) results for crystalline Y5Tl3 at its relaxed geometry.

Structure (extended XYZ):
```
16
Lattice="8.9078 0.0000 0.0000 -4.4539 7.7144 0.0000 0.0000 0.0000 6.5282" Properties=species:S:1:pos:R:3 pbc="T T T"
Y -1.0529 1.8237 1.6321
Y -3.4010 5.8907 4.8962
Y 2.1058 0.0000 1.6321
Y 1.0529 1.8237 4.8962
Y 0.0000 5.1429 0.0000
Y 0.0000 5.1429 3.2641
Y 4.4539 2.5715 0.0000
Y 4.4539 2.5715 3.2641
Y 6.8020 0.0000 4.8962
Y 3.4010 5.8907 1.6321
Tl -1.7907 3.1016 4.8962
Tl -2.6632 4.6128 1.6321
Tl 3.5814 0.0000 4.8962
Tl 1.7907 3.1016 1.6321
Tl 5.3265 0.0000 1.6321
Tl 2.6632 4.6128 4.8962
```

Calculated values
As for the formation energy: -0.414 eV per atom. As for the relative energy among the computed polymorphs: 9 meV/atom. The calculation puts the density of states at the Fermi level at 23.94 states/eV/cell.